No. 1
A geometry-optimized Al2In2Au7 structure, computed with PBE.

POSCAR file:
```
Al2In2Au7
1.0
5.653 -0.839 -0.195
-2.073 5.325 -0.195
0.621 0.778 7.358
Al In Au
2 2 7
Cartesian
4.191 0.964 3.483
0.010 4.300 3.483
2.684 3.364 5.668
1.517 1.901 1.298
4.492 2.145 1.097
3.107 0.409 5.869
-0.291 3.120 5.869
1.094 4.856 1.097
0.000 0.000 0.000
1.175 1.473 4.053
3.026 3.792 2.914
```

- symmetry = C2/m (12)
- energy of formation (kJ per mole of atoms) = -17.4

No. 2
A geometry-optimized AlIn2Au structure, computed with PBE.

POSCAR file:
```
AlIn2Au
1.0
-3.411 4.262 0.321
-3.562 -0.617 4.102
5.445 -0.399 -0.296
Au Al In
1 1 2
Cartesian
-0.726 2.843 1.118
-3.486 1.822 2.211
0.000 0.000 0.000
-0.802 0.403 3.009
```

- symmetry = I-4m2 (119)
- energy of formation (kJ per mole of atoms) = 4.5

Respective DOS(E_F) values: 0.19 0.36 states/eV per atom.